The following is a DFT calculation (GGA+U) of a geometry-optimized Li2Fe3F8 structure.

Cell lengths 12.375, 5.191, 5.833 Å; angles 65.11, 90.00, 90.00 degrees
Fractional positions:
Li 0.116 0.151 0.286
Li 0.616 0.349 0.714
Li 0.384 0.651 0.286
Li 0.884 0.849 0.714
Fe 0.500 0.000 0.500
Fe 0.848 0.168 0.106
Fe 0.348 0.332 0.894
Fe 0.000 0.500 0.500
Fe 0.652 0.668 0.106
Fe 0.152 0.832 0.894
F 0.703 0.073 0.966
F 0.144 0.210 0.596
F 0.973 0.295 0.273
F 0.415 0.326 0.224
F 0.915 0.174 0.776
F 0.473 0.205 0.727
F 0.644 0.290 0.404
F 0.797 0.573 0.966
F 0.203 0.427 0.034
F 0.356 0.710 0.596
F 0.527 0.795 0.273
F 0.085 0.826 0.224
F 0.585 0.674 0.776
F 0.027 0.705 0.727
F 0.856 0.790 0.404
F 0.297 0.927 0.034

Summary:
- total moment (μB per formula unit) = 12.0
- symmetry = P2_1/c
- Fermi-level density of states (states/eV per cell) = 0.00
- relative energy among the computed polymorphs (eV per formula unit) = 0.33